Sm7ErTm12 after structural relaxation. Source: Alexandria, functional GGA-PBE.

Cell: 8.695 8.695 8.695 Å, 85.88 85.88 85.88°
Fractional coordinates of all 20 atoms:
1 Sm 0.845 0.601 0.925
2 Sm 0.155 0.399 0.075
3 Sm 0.500 0.500 0.500
4 Sm 0.399 0.075 0.155
5 Sm 0.925 0.845 0.601
6 Sm 0.075 0.155 0.399
7 Sm 0.601 0.925 0.845
8 Tm 0.134 0.497 0.618
9 Tm 0.271 0.146 0.744
10 Tm 0.146 0.744 0.271
11 Tm 0.744 0.271 0.146
12 Tm 0.854 0.256 0.729
13 Tm 0.866 0.503 0.382
14 Tm 0.256 0.729 0.854
15 Tm 0.729 0.854 0.256
16 Tm 0.618 0.134 0.497
17 Tm 0.497 0.618 0.134
18 Tm 0.503 0.382 0.866
19 Tm 0.382 0.866 0.503
20 Er 0.000 0.000 0.000

Summary:
The crystal system is trigonal. The energy above the most stable polymorph in this dataset is 0 meV/atom. For the spin magnetization, the calculation gives 0.0 μB/cell. Its formation enthalpy at 0 K is 0.24 eV/atom.

---

TbNdTc4 after structural relaxation. Source: Alexandria, functional GGA-PBE.

Cell: 5.456 5.456 5.456 Å, 60.00 60.00 60.00°
Fractional coordinates of all 6 atoms:
1 Nd 0.250 0.250 0.250
2 Tc 0.125 0.625 0.625
3 Tc 0.625 0.625 0.625
4 Tc 0.625 0.125 0.625
5 Tc 0.625 0.625 0.125
6 Tb 0.000 0.000 0.000

Summary:
The crystal system is cubic. For the spin magnetization, the calculation gives 0.0 μB/cell. Its formation enthalpy at 0 K is -0.02 eV/atom.

---

Nd3Dy4Ga4 after structural relaxation. Source: Alexandria, functional GGA-PBE.

Cell: 4.976 7.241 9.389 Å, 112.68 105.37 90.00°
Fractional coordinates of all 11 atoms:
1 Nd 0.104 0.104 0.209
2 Nd 0.896 0.896 0.791
3 Nd 0.000 0.500 0.000
4 Dy 0.324 0.547 0.649
5 Dy 0.676 0.899 0.351
6 Dy 0.324 0.101 0.649
7 Dy 0.676 0.453 0.351
8 Ga 0.188 0.688 0.375
9 Ga 0.500 0.188 0.000
10 Ga 0.500 0.812 0.000
11 Ga 0.812 0.312 0.625

Summary:
The crystal system is orthorhombic. For the spin magnetization, the calculation gives 0.0 μB/cell. Its formation enthalpy at 0 K is -0.38 eV/atom.